Record 1
An optimized crystal structure of ZrBiSN2. Source: Alexandria via LeMat-Bulk, functional PBE-GGA.

Values from the calculation:
As for the theoretical density: 6.51 g cm⁻³. For the total energy, the calculation gives -6.51 eV/atom. The calculation puts the formation energy from raw total energies at 0.1293 eV/atom. As for the space group: P4/mmm, No. 123.

POSCAR file:
```
ZrBiSN2
1.0
4.215 0.000 0.000
0.000 4.215 0.000
0.000 0.000 5.176
Zr Bi S N
1 1 1 2
direct
0.000 0.000 0.000
0.500 0.500 0.500
0.000 0.000 0.500
0.000 0.500 0.000
0.500 0.000 0.000
```

Record 2
An optimized crystal structure of InSiTe3. Source: Alexandria via LeMat-Bulk, functional PBE-GGA.

Values from the calculation:
As for the theoretical density: 4.75 g cm⁻³. For the total energy, the calculation gives -3.47 eV/atom. The calculation puts the formation energy from raw total energies at 0.0498 eV/atom. As for the space group: P-6, No. 174.

POSCAR file:
```
InSiTe3
1.0
7.144 0.000 0.000
-3.572 6.187 0.000
0.000 0.000 4.156
In Si Te
1 1 3
direct
0.000 0.000 0.000
0.667 0.333 0.500
0.010 0.679 0.500
0.321 0.331 0.500
0.669 0.990 0.500
```

Record 3
An optimized crystal structure of Sr5Mg. Source: Alexandria via LeMat-Bulk, functional PBE-GGA.

Values from the calculation:
As for the theoretical density: 2.62 g cm⁻³. The value obtained for the formation energy is -0.01 eV per atom. For the total energy, the calculation gives -1.68 eV/atom. As for the space group: P4/mmm, No. 123.

POSCAR file:
```
Sr5Mg
1.0
4.225 0.000 0.000
0.000 4.225 0.000
0.000 0.000 16.414
Sr Mg
5 1
direct
0.000 0.000 0.000
0.000 0.000 0.375
0.000 0.000 0.625
0.500 0.500 0.187
0.500 0.500 0.813
0.500 0.500 0.500
```

Record 4
An optimized crystal structure of GdTm2Sn. Source: Alexandria via LeMat-Bulk, functional PBE-GGA.

Values from the calculation:
As for the theoretical density: 9.03 g cm⁻³. The value obtained for the formation energy is -0.29 eV per atom. For the total energy, the calculation gives -7.04 eV/atom. As for the space group: P4/mmm, No. 123.

POSCAR file:
```
GdTm2Sn
1.0
4.067 0.000 0.000
0.000 4.067 0.000
0.000 0.000 6.827
Gd Tm Sn
1 2 1
direct
0.000 0.000 0.000
0.500 0.500 0.271
0.500 0.500 0.729
0.000 0.000 0.500
```

Record 5
An optimized crystal structure of SrLiFe2Sb. Source: Alexandria via LeMat-Bulk, functional PBE-GGA.

Values from the calculation:
As for the theoretical density: 5.19 g cm⁻³. For the total energy, the calculation gives -4.40 eV/atom. The calculation puts the formation energy from raw total energies at 0.5276 eV/atom. As for the space group: P4/mmm, No. 123.

POSCAR file:
```
SrLiFe2Sb
1.0
4.650 0.000 0.000
0.000 4.650 0.000
0.000 0.000 4.852
Sr Li Fe Sb
1 1 2 1
direct
0.000 0.000 0.000
0.500 0.500 0.500
0.000 0.500 0.500
0.500 0.000 0.500
0.500 0.500 0.000
```

Record 6
An optimized crystal structure of Ho2PuCd. Source: Alexandria via LeMat-Bulk, functional PBE-GGA.

Values from the calculation:
As for the theoretical density: 10.37 g cm⁻³. The value obtained for the formation energy is -0.06 eV per atom. For the total energy, the calculation gives -6.16 eV/atom. As for the space group: P4/mmm, No. 123.

POSCAR file:
```
Ho2PuCd
1.0
3.467 0.000 0.000
0.000 3.467 0.000
0.000 0.000 9.143
Ho Pu Cd
2 1 1
direct
0.000 0.000 0.234
0.000 0.000 0.766
0.500 0.500 0.500
0.500 0.500 0.000
```

Record 7
An optimized crystal structure of TmCdSn. Source: Alexandria via LeMat-Bulk, functional PBE-GGA.

Values from the calculation:
As for the theoretical density: 8.28 g cm⁻³. The value obtained for the formation energy is -0.21 eV per atom. For the total energy, the calculation gives -3.34 eV/atom. As for the space group: P4/nmm, No. 129.

POSCAR file:
```
TmCdSn
1.0
4.192 0.000 0.000
0.000 4.192 0.000
0.000 0.000 9.128
Tm Cd Sn
2 2 2
direct
0.250 0.250 0.100
0.750 0.750 0.900
0.250 0.250 0.436
0.750 0.750 0.564
0.250 0.250 0.763
0.750 0.750 0.237
```

Record 8
An optimized crystal structure of PHRuS. Source: Alexandria via LeMat-Bulk, functional PBE-GGA.

Values from the calculation:
As for the theoretical density: 5.12 g cm⁻³. For the total energy, the calculation gives -5.61 eV/atom. As for the space group: R3m, No. 160.

POSCAR file:
```
PHRuS
1.0
1.951 1.126 4.060
-1.951 1.126 4.060
0.000 -2.252 4.060
P H Ru S
1 1 1 1
direct
0.000 0.000 0.000
0.538 0.538 0.538
0.408 0.408 0.408
0.821 0.821 0.821
```

Record 9
An optimized crystal structure of Sc4Ga12Pd. Source: Alexandria via LeMat-Bulk, functional PBE-GGA.

Values from the calculation:
As for the theoretical density: 6.28 g cm⁻³. The value obtained for the formation energy is -0.53 eV per atom. For the total energy, the calculation gives -4.46 eV/atom. As for the space group: Im-3m, No. 229.

POSCAR file:
```
Sc4Ga12Pd
1.0
-4.202 4.202 4.202
4.202 -4.202 4.202
4.202 4.202 -4.202
Sc Ga Pd
4 12 1
direct
0.000 0.000 0.500
0.000 0.500 0.000
0.500 0.000 0.000
0.500 0.500 0.500
0.000 0.296 0.296
0.000 0.704 0.704
0.250 0.500 0.750
0.250 0.750 0.500
0.296 0.000 0.296
0.296 0.296 0.000
0.500 0.250 0.750
0.500 0.750 0.250
0.704 0.000 0.704
0.704 0.704 0.000
0.750 0.250 0.500
0.750 0.500 0.250
0.000 0.000 0.000
```

Record 10
An optimized crystal structure of TbNi9C2. Source: Alexandria via LeMat-Bulk, functional PBE-GGA.

Values from the calculation:
As for the theoretical density: 8.79 g cm⁻³. The value obtained for the formation energy is 0.03 eV per atom. For the total energy, the calculation gives -6.23 eV/atom. As for the space group: P6/mmm, No. 191.

POSCAR file:
```
TbNi9C2
1.0
6.722 0.000 0.000
-3.361 5.821 0.000
0.000 0.000 3.435
Tb Ni C
1 9 2
direct
0.000 0.000 0.000
0.000 0.500 0.000
0.211 0.422 0.500
0.211 0.789 0.500
0.422 0.211 0.500
0.500 0.000 0.000
0.500 0.500 0.000
0.578 0.789 0.500
0.789 0.211 0.500
0.789 0.578 0.500
0.333 0.667 0.000
0.667 0.333 0.000
```

Record 11
An optimized crystal structure of PrCdInNi. Source: Alexandria via LeMat-Bulk, functional PBE-GGA.

Values from the calculation:
As for the theoretical density: 8.12 g cm⁻³. The value obtained for the formation energy is -0.22 eV per atom. For the total energy, the calculation gives -3.77 eV/atom. As for the space group: F-43m, No. 216.

POSCAR file:
```
PrCdInNi
1.0
0.000 3.521 3.521
3.521 0.000 3.521
3.521 3.521 0.000
Pr Cd In Ni
1 1 1 1
direct
0.000 0.000 0.000
0.750 0.750 0.750
0.500 0.500 0.500
0.250 0.250 0.250
```

Record 12
An optimized crystal structure of PmDy2Ag. Source: Alexandria via LeMat-Bulk, functional PBE-GGA.

Values from the calculation:
As for the theoretical density: 8.21 g cm⁻³. The value obtained for the formation energy is -0.02 eV per atom. For the total energy, the calculation gives -4.22 eV/atom. As for the space group: R-3m, No. 166.

POSCAR file:
```
PmDy2Ag
1.0
1.790 1.033 10.533
-1.790 1.033 10.533
0.000 -2.067 10.533
Pm Dy Ag
1 2 1
direct
0.000 0.000 0.000
0.240 0.240 0.240
0.760 0.760 0.760
0.500 0.500 0.500
```

Record 13
An optimized crystal structure of LaGa2Ag6. Source: Alexandria via LeMat-Bulk, functional PBE-GGA.

Values from the calculation:
As for the theoretical density: 8.27 g cm⁻³. The value obtained for the formation energy is -0.08 eV per atom. For the total energy, the calculation gives -3.20 eV/atom. As for the space group: C2/m, No. 12.

POSCAR file:
```
LaGa2Ag6
1.0
5.162 -3.147 0.000
5.162 3.147 0.000
-0.527 0.000 5.718
La Ga Ag
1 2 6
direct
0.000 0.000 0.000
0.404 0.404 0.117
0.596 0.596 0.883
0.037 0.486 0.741
0.247 0.753 0.500
0.486 0.037 0.741
0.514 0.963 0.259
0.753 0.247 0.500
0.963 0.514 0.259
```

Record 14
An optimized crystal structure of BaAc3In2. Source: Alexandria via LeMat-Bulk, functional PBE-GGA.

Values from the calculation:
As for the theoretical density: 7.15 g cm⁻³. The value obtained for the formation energy is -0.20 eV per atom. For the total energy, the calculation gives -3.49 eV/atom. As for the space group: C2/m, No. 12.

POSCAR file:
```
BaAc3In2
1.0
9.099 -2.984 0.000
9.099 2.984 0.000
-4.303 0.000 8.959
Ba Ac In
2 6 4
direct
0.131 0.131 0.197
0.869 0.869 0.803
0.064 0.064 0.716
0.312 0.312 0.002
0.380 0.380 0.477
0.620 0.620 0.523
0.688 0.688 0.998
0.936 0.936 0.284
0.227 0.227 0.610
0.486 0.486 0.844
0.514 0.514 0.156
0.773 0.773 0.390
```

Record 15
An optimized crystal structure of Pu5GaAu3. Source: Alexandria via LeMat-Bulk, functional PBE-GGA.

Values from the calculation:
As for the theoretical density: 14.19 g cm⁻³. The value obtained for the formation energy is -0.26 eV per atom. For the total energy, the calculation gives -9.65 eV/atom. As for the space group: Cmcm, No. 63.

POSCAR file:
```
Pu5GaAu3
1.0
7.972 -4.645 0.000
7.972 4.645 0.000
0.000 0.000 5.943
Pu Ga Au
10 2 6
direct
0.170 0.170 0.000
0.170 0.170 0.500
0.211 0.505 0.250
0.216 0.784 0.750
0.495 0.789 0.250
0.505 0.211 0.750
0.784 0.216 0.250
0.789 0.495 0.750
0.830 0.830 0.000
0.830 0.830 0.500
0.500 0.500 0.000
0.500 0.500 0.500
0.111 0.889 0.250
0.119 0.505 0.750
0.495 0.881 0.750
0.505 0.119 0.250
0.881 0.495 0.250
0.889 0.111 0.750
```

Record 16
An optimized crystal structure of Nd4In5Ir2. Source: Alexandria via LeMat-Bulk, functional PBE-GGA.

Values from the calculation:
As for the theoretical density: 8.75 g cm⁻³. The value obtained for the formation energy is -0.53 eV per atom. For the total energy, the calculation gives -5.12 eV/atom. As for the space group: P2/m, No. 10.

POSCAR file:
```
Nd4In5Ir2
1.0
7.814 0.000 0.000
0.000 3.816 0.000
-0.632 0.000 9.775
Nd In Ir
4 5 2
direct
0.173 0.000 0.351
0.222 0.000 0.943
0.778 0.000 0.057
0.827 0.000 0.649
0.177 0.500 0.652
0.449 0.500 0.178
0.500 0.500 0.500
0.551 0.500 0.822
0.823 0.500 0.348
0.073 0.500 0.140
0.927 0.500 0.860
```

Record 17
An optimized crystal structure of Mg5ZnCd2Rh2. Source: Alexandria via LeMat-Bulk, functional PBE-GGA.

Values from the calculation:
As for the theoretical density: 5.30 g cm⁻³. The value obtained for the formation energy is -0.22 eV per atom. For the total energy, the calculation gives -2.80 eV/atom. As for the space group: P4/mbm, No. 127.

POSCAR file:
```
Mg5ZnCd2Rh2
1.0
9.919 0.000 0.000
0.000 9.919 0.000
0.000 0.000 3.931
Mg Zn Cd Rh
10 2 4 4
direct
0.000 0.500 0.000
0.080 0.205 0.000
0.205 0.920 0.000
0.295 0.420 0.000
0.420 0.705 0.000
0.500 0.000 0.000
0.580 0.295 0.000
0.705 0.580 0.000
0.795 0.080 0.000
0.920 0.795 0.000
0.000 0.000 0.500
0.500 0.500 0.500
0.171 0.671 0.500
0.329 0.171 0.500
0.671 0.829 0.500
0.829 0.329 0.500
0.122 0.378 0.500
0.378 0.878 0.500
0.622 0.122 0.500
0.878 0.622 0.500
```

Record 18
An optimized crystal structure of HoErTe2. Source: Alexandria via LeMat-Bulk, functional PBE-GGA.

Values from the calculation:
As for the theoretical density: 8.49 g cm⁻³. For the total energy, the calculation gives -5.12 eV/atom. The calculation puts the formation energy from raw total energies at -1.2601 eV/atom. As for the space group: R3m, No. 160.

POSCAR file:
```
HoErTe2
1.0
2.081 1.202 7.654
-2.081 1.202 7.654
0.000 -2.403 7.654
Ho Er Te
1 1 2
direct
0.000 0.000 0.000
0.173 0.173 0.173
0.585 0.585 0.585
0.754 0.754 0.754
```

Record 19
An optimized crystal structure of RbBa2PbF. Source: Alexandria via LeMat-Bulk, functional PBE-GGA.

Values from the calculation:
As for the theoretical density: 5.45 g cm⁻³. For the total energy, the calculation gives -3.38 eV/atom. The calculation puts the formation energy from raw total energies at -1.2996 eV/atom. As for the space group: P4/mmm, No. 123.

POSCAR file:
```
RbBa2PbF
1.0
5.735 0.000 0.000
0.000 5.735 0.000
0.000 0.000 5.433
Rb Ba Pb F
1 2 1 1
direct
0.000 0.000 0.000
0.000 0.500 0.500
0.500 0.000 0.500
0.500 0.500 0.000
0.000 0.000 0.500
```

Record 20
An optimized crystal structure of TcAs2CCl. Source: Alexandria via LeMat-Bulk, functional PBE-GGA.

Values from the calculation:
As for the theoretical density: 4.44 g cm⁻³. For the total energy, the calculation gives -4.57 eV/atom. The calculation puts the formation energy from raw total energies at 1.5722 eV/atom. As for the space group: P4/mmm, No. 123.

POSCAR file:
```
TcAs2CCl
1.0
4.786 0.000 0.000
0.000 4.786 0.000
0.000 0.000 4.821
Tc As C Cl
1 2 1 1
direct
0.000 0.000 0.000
0.000 0.500 0.000
0.500 0.000 0.000
0.500 0.500 0.500
0.000 0.000 0.500
```

Record 21
An optimized crystal structure of Sm2ZnHg. Source: Alexandria via LeMat-Bulk, functional PBE-GGA.

Values from the calculation:
As for the theoretical density: 9.18 g cm⁻³. The value obtained for the formation energy is -0.40 eV per atom. For the total energy, the calculation gives -3.16 eV/atom. As for the space group: P4/mmm, No. 123.

POSCAR file:
```
Sm2ZnHg
1.0
3.697 0.000 0.000
0.000 3.697 0.000
0.000 0.000 7.505
Sm Zn Hg
2 1 1
direct
0.000 0.000 0.233
0.000 0.000 0.767
0.500 0.500 0.000
0.500 0.500 0.500
```

Record 22
An optimized crystal structure of CaErMgAl. Source: Alexandria via LeMat-Bulk, functional PBE-GGA.

Values from the calculation:
As for the theoretical density: 4.08 g cm⁻³. The value obtained for the formation energy is -0.19 eV per atom. For the total energy, the calculation gives -3.17 eV/atom. As for the space group: P4mm, No. 99.

POSCAR file:
```
CaErMgAl
1.0
3.618 0.000 0.000
0.000 3.618 0.000
0.000 0.000 8.047
Ca Er Mg Al
1 1 1 1
direct
0.000 0.000 0.000
0.000 0.000 0.460
0.500 0.500 0.720
0.500 0.500 0.243
```

Record 23
An optimized crystal structure of TiBH2W. Source: Alexandria via LeMat-Bulk, functional PBE-GGA.

Values from the calculation:
As for the theoretical density: 6.95 g cm⁻³. For the total energy, the calculation gives -5.89 eV/atom. As for the space group: P4/mmm, No. 123.

POSCAR file:
```
TiBH2W
1.0
3.376 0.000 0.000
0.000 3.376 0.000
0.000 0.000 5.122
Ti B H W
1 1 2 1
direct
0.000 0.000 0.000
0.500 0.500 0.000
0.000 0.500 0.500
0.500 0.000 0.500
0.000 0.000 0.500
```

Record 24
An optimized crystal structure of Pu2FeAu. Source: Alexandria via LeMat-Bulk, functional PBE-GGA.

Values from the calculation:
As for the theoretical density: 14.84 g cm⁻³. The value obtained for the formation energy is -0.16 eV per atom. For the total energy, the calculation gives -10.27 eV/atom. As for the space group: P4/mmm, No. 123.

POSCAR file:
```
Pu2FeAu
1.0
3.235 0.000 0.000
0.000 3.235 0.000
0.000 0.000 7.920
Pu Fe Au
2 1 1
direct
0.000 0.000 0.218
0.000 0.000 0.782
0.500 0.500 0.000
0.500 0.500 0.500
```

Record 25
An optimized crystal structure of NaGaHg2S4. Source: Alexandria via LeMat-Bulk, functional PBE-GGA.

Values from the calculation:
As for the theoretical density: 5.10 g cm⁻³. For the total energy, the calculation gives -3.22 eV/atom. The calculation puts the formation energy from raw total energies at -0.5386 eV/atom. As for the space group: I-42m, No. 121.

POSCAR file:
```
NaGaHg2S4
1.0
-3.072 3.072 5.362
3.072 -3.072 5.362
3.072 3.072 -5.362
Na Ga Hg S
1 1 2 4
direct
0.000 0.000 0.000
0.500 0.500 0.000
0.250 0.750 0.500
0.750 0.250 0.500
0.160 0.602 0.000
0.398 0.398 0.558
0.602 0.160 0.000
0.840 0.840 0.442
```